The following is a DFT calculation (PBE) of crystalline La2DyTmSc at its relaxed geometry.

Values from the calculation:
formation enthalpy at 0 K: 37.1 kJ per mole of atoms
M_tot: 0.000 μB/cell
crystal system: orthorhombic

Unit cell a=8.1891 b=11.4247 c=7.2884 alpha=90.00 beta=90.00 gamma=90.00
Closest atoms and distances in Å follow each position.
Space group Cmcm (No. 63)
Symmetry-distinct sites (fractional):
La 0.1986 0.0000 0.0000 (multiplicity 8)  2 Sc 3.07, 1 La 3.25
Dy 0.0000 0.2316 0.2500 (multiplicity 4)  1 Sc 2.97
Tm 0.0000 0.2429 0.7500 (multiplicity 4)  1 Sc 3.03
Sc 0.0000 0.4916 0.2500 (multiplicity 4)  1 Dy 2.97, 1 Tm 3.03, 4 La 3.07

The following is a DFT calculation (PBE) of crystalline LaDyTm3Sc at its relaxed geometry.

Values from the calculation:
formation enthalpy at 0 K: 5.1 kJ per mole of atoms
M_tot: 0.006 μB/cell
crystal system: orthorhombic

Unit cell a=4.9589 b=14.8356 c=9.9623 alpha=90.00 beta=90.00 gamma=90.00
Closest atoms and distances in Å follow each position.
Space group Cmcm (No. 63)
Symmetry-distinct sites (fractional):
La 0.0000 0.0025 0.2500 (multiplicity 4)  2 Sc 3.51, 4 Dy 3.51, 6 Tm 3.52-3.58
Dy 0.0000 0.5000 0.0000 (multiplicity 4)  4 La 3.51, 6 Tm 3.53-3.56, 2 Sc 3.55
Tm 0.0000 0.1693 0.5010 (multiplicity 8)  5 Tm 3.44-3.51, 3 Sc 3.44-3.52, 2 La 3.52-3.56, 2 Dy 3.53
Tm 0.0000 0.3284 0.2500 (multiplicity 4)  2 Sc 3.41, 6 Tm 3.44-3.51, 2 Dy 3.56, 2 La 3.58
Sc 0.0000 0.3299 0.7500 (multiplicity 4)  8 Tm 3.41-3.52, 2 La 3.51, 2 Dy 3.55

The following is a DFT calculation (PBE) of crystalline La6Dy2TmSc at its relaxed geometry.

Values from the calculation:
formation enthalpy at 0 K: 18.3 kJ per mole of atoms
M_tot: 0.000 μB/cell
crystal system: monoclinic

Unit cell a=11.4823 b=7.0611 c=8.9217 alpha=90.00 beta=107.32 gamma=90.00
Closest atoms and distances in Å follow each position.
Space group C2/m (No. 12)
Symmetry-distinct sites (fractional):
La 0.1328 0.0000 0.4267 (multiplicity 4)  1 Tm 3.66, 7 La 3.66-4.05, 3 Sc 3.98-4.07, 1 Dy 4.01
La 0.1810 0.2752 0.7955 (multiplicity 8)  2 La 3.18-3.54, 1 Sc 3.24, 2 Dy 3.28-3.50
Dy 0.0842 0.5000 0.1795 (multiplicity 4)  1 Dy 3.21, 4 La 3.28-3.50, 1 Sc 3.28
Tm 0.0000 0.0000 0.0000 (multiplicity 2)  10 La 3.66-3.91, 4 Dy 3.88
Sc 0.0000 0.5000 0.5000 (multiplicity 2)  4 La 3.24, 2 Dy 3.28

The following is a DFT calculation (PBE) of crystalline LaDyTmSc at its relaxed geometry.

Values from the calculation:
formation enthalpy at 0 K: 8.5 kJ per mole of atoms
M_tot: 0.004 μB/cell
crystal system: monoclinic
excess energy over the best structure of this formula in the dataset: 0.000 eV/atom

Unit cell a=12.0883 b=5.6582 c=3.8132 alpha=90.00 beta=108.37 gamma=90.00
Closest atoms and distances in Å follow each position.
Space group Cm (No. 8)
Symmetry-distinct sites (fractional):
La 0.0000 0.0000 0.0000 (multiplicity 2)  4 Sc 3.41, 2 Tm 3.60-3.61, 2 Dy 3.64-3.65, 2 La 3.81
Dy 0.2294 0.5000 0.2274 (multiplicity 2)  2 Sc 3.28-3.29, 4 Tm 3.44, 2 La 3.64-3.65
Tm 0.2664 0.0000 0.7643 (multiplicity 2)  2 Sc 3.25-3.26, 4 Dy 3.44, 2 La 3.60-3.61
Sc 0.4962 0.0000 0.4948 (multiplicity 2)  2 Tm 3.25-3.26, 2 Dy 3.28-3.29, 4 La 3.41

The following is a DFT calculation (PBE) of crystalline La2Dy3Tm6Sc at its relaxed geometry.

Values from the calculation:
formation enthalpy at 0 K: 3.1 kJ per mole of atoms
M_tot: 0.000 μB/cell
crystal system: monoclinic

Unit cell a=6.1037 b=10.5715 c=11.6713 alpha=90.00 beta=100.01 gamma=90.00
Closest atoms and distances in Å follow each position.
Space group C2/m (No. 12)
Symmetry-distinct sites (fractional):
La 0.0000 0.1661 0.0000 (multiplicity 4)  3 La 3.51-3.53, 3 Sc 3.52-3.53, 6 Tm 3.55
Dy 0.0000 0.0000 0.5000 (multiplicity 2)  6 Tm 3.49-3.51, 6 Dy 3.52-3.53
Dy 0.0000 0.3335 0.5000 (multiplicity 4)  6 Tm 3.49-3.51, 6 Dy 3.52-3.53
Tm 0.2458 0.5000 0.7473 (multiplicity 4)  6 Tm 3.49-3.54, 3 Dy 3.49-3.51, 1 Sc 3.53, 2 La 3.55
Tm 0.2490 0.3351 0.2523 (multiplicity 8)  6 Tm 3.49-3.54, 3 Dy 3.49-3.51, 1 Sc 3.53, 2 La 3.55
Sc 0.0000 0.5000 0.0000 (multiplicity 2)  6 La 3.52-3.53, 6 Tm 3.53

The following is a DFT calculation (PBE) of crystalline La4Dy2TmSc at its relaxed geometry.

Values from the calculation:
formation enthalpy at 0 K: 2.4 kJ per mole of atoms
M_tot: 0.000 μB/cell
crystal system: monoclinic

Unit cell a=5.1948 b=5.2209 c=9.7389 alpha=90.00 beta=90.01 gamma=90.00
Closest atoms and distances in Å follow each position.
Space group P2/m (No. 10)
Symmetry-distinct sites (fractional):
La 0.9996 0.0000 0.2460 (multiplicity 2)  4 Dy 3.53-3.60, 2 Sc 3.54, 2 Tm 3.59, 4 La 3.68-3.69
La 0.4988 0.5000 0.2459 (multiplicity 2)  2 Sc 3.53-3.54, 4 Dy 3.54-3.59, 2 Tm 3.60, 4 La 3.68-3.69
Dy 0.0000 0.5000 0.5000 (multiplicity 1)  8 La 3.58-3.60, 4 Tm 3.68
Dy 0.5000 0.0000 0.0000 (multiplicity 1)  8 La 3.53-3.54, 4 Sc 3.68
Tm 0.5000 0.0000 0.5000 (multiplicity 1)  8 La 3.59-3.60, 4 Dy 3.68
Sc 0.0000 0.5000 0.0000 (multiplicity 1)  8 La 3.53-3.54, 4 Dy 3.68

The following is a DFT calculation (PBE) of crystalline La2Dy2TmSc at its relaxed geometry.

Values from the calculation:
formation enthalpy at 0 K: 5.0 kJ per mole of atoms
M_tot: 0.000 μB/cell
crystal system: orthorhombic

Unit cell a=5.6624 b=10.8401 c=6.2715 alpha=90.00 beta=90.00 gamma=90.00
Closest atoms and distances in Å follow each position.
Space group Pmc2_1 (No. 26)
Symmetry-distinct sites (fractional):
La 0.0000 0.0758 0.0000 (multiplicity 2)  5 Dy 3.50-3.77, 4 La 3.54-3.60, 3 Tm 3.63-3.81
La 0.5000 0.2542 0.1766 (multiplicity 2)  3 Sc 3.51-3.65, 2 Tm 3.55, 5 Dy 3.55-3.77, 2 La 3.60
Dy 0.0000 0.4233 0.9985 (multiplicity 2)  3 Tm 3.43-3.70, 4 Sc 3.47-3.50, 2 Dy 3.55, 3 La 3.55-3.77
Dy 0.5000 0.0940 0.6744 (multiplicity 2)  7 La 3.50-3.77, 2 Tm 3.50, 1 Sc 3.55, 2 Dy 3.74
Tm 0.0000 0.2603 0.5171 (multiplicity 2)  5 Dy 3.43-3.70, 2 Sc 3.47, 5 La 3.55-3.81
Sc 0.5000 0.4216 0.6711 (multiplicity 2)  2 Tm 3.47, 5 Dy 3.47-3.55, 3 La 3.51-3.65, 2 Sc 3.57

The following is a DFT calculation (PBE) of crystalline LaDyTmSc at its relaxed geometry.

Values from the calculation:
formation enthalpy at 0 K: 8.8 kJ per mole of atoms
M_tot: 0.003 μB/cell
crystal system: cubic
excess energy over the best structure of this formula in the dataset: 0.003 eV/atom

Unit cell a=7.9083 b=7.9083 c=7.9083 alpha=90.00 beta=90.00 gamma=90.00
Closest atoms and distances in Å follow each position.
Space group F-43m (No. 216)
Symmetry-distinct sites (fractional):
La 0.0000 0.0000 0.0000 (multiplicity 4)  4 Tm 3.42, 4 Sc 3.42
Dy 0.0000 0.0000 0.5000 (multiplicity 4)  4 Sc 3.42, 4 Tm 3.42
Tm 0.2500 0.2500 0.2500 (multiplicity 4)  4 La 3.42, 4 Dy 3.42
Sc 0.2500 0.2500 0.7500 (multiplicity 4)  4 La 3.42, 4 Dy 3.42

The following is a DFT calculation (PBE) of crystalline LaDy4Y2Sc at its relaxed geometry.

Values from the calculation:
formation enthalpy at 0 K: 3.9 kJ per mole of atoms
M_tot: 0.002 μB/cell
crystal system: tetragonal

Unit cell a=4.9957 b=4.9957 c=10.0767 alpha=90.00 beta=90.00 gamma=90.00
Closest atoms and distances in Å follow each position.
Space group P4/mmm (No. 123)
Symmetry-distinct sites (fractional):
La 0.0000 0.0000 0.0000 (multiplicity 1)  4 Sc 3.53, 8 Dy 3.54
Dy 0.0000 0.5000 0.2486 (multiplicity 4)  4 Dy 3.53, 2 Sc 3.54, 2 La 3.54, 4 Y 3.56
Y 0.0000 0.0000 0.5000 (multiplicity 1)  4 Y 3.53, 8 Dy 3.56
Y 0.5000 0.5000 0.5000 (multiplicity 1)  4 Y 3.53, 8 Dy 3.56
Sc 0.5000 0.5000 0.0000 (multiplicity 1)  4 La 3.53, 8 Dy 3.54

The following is a DFT calculation (PBE) of crystalline La4Dy2YSc at its relaxed geometry.

Values from the calculation:
formation enthalpy at 0 K: 2.2 kJ per mole of atoms
M_tot: 0.000 μB/cell
crystal system: orthorhombic

Unit cell a=5.9140 b=5.9162 c=7.7309 alpha=90.00 beta=90.00 gamma=90.00
Closest atoms and distances in Å follow each position.
Space group Pmmm (No. 47)
Symmetry-distinct sites (fractional):
La 0.0000 0.0000 0.2376 (multiplicity 2)  2 Sc 3.48, 4 Dy 3.48-3.59, 2 Y 3.59, 1 La 3.67
La 0.5000 0.5000 0.2398 (multiplicity 2)  4 Dy 3.49-3.58, 2 Sc 3.49, 2 Y 3.58, 1 La 3.71
Dy 0.0000 0.5000 0.0000 (multiplicity 1)  8 La 3.48-3.49, 2 Y 3.87
Dy 0.5000 0.0000 0.5000 (multiplicity 1)  8 La 3.58-3.59, 2 Sc 3.87
Y 0.0000 0.5000 0.5000 (multiplicity 1)  8 La 3.58-3.59, 2 Dy 3.87
Sc 0.5000 0.0000 0.0000 (multiplicity 1)  8 La 3.48-3.49, 2 Dy 3.87

Q: What is the M_tot in the seventh record?
A: 0.000 μB/cell